[1]
## Sm2ScSi2 (PBE)

Data for a geometry-optimized Sm2ScSi2 structure.

a b c (Å): 11.972 4.278 10.479
angles (deg): 90.00 117.73 90.00
Space group C2/m (No. 12)
Inequivalent atoms, fractional coordinates:
1 Sm 0.015 0.000 0.187 [4 per cell]
2 Sm 0.183 0.000 0.597 [4 per cell]
3 Sc 0.226 0.500 0.873 [4 per cell]
4 Si 0.007 0.500 0.389 [4 per cell]
5 Si 0.117 0.500 0.058 [4 per cell]

Energy above the most stable polymorph in this dataset (meV/atom): 38.9
Total energy (eV per atom): -6.02
Uncorrected formation energy (meV/atom): -699

---

[2]
## Sm3ScSi6 (PBE)

Data for a geometry-optimized Sm3ScSi6 structure.

a b c (Å): 11.3556 11.3556 11.1087
angles (deg): 90.00 90.00 120.00
Space group R-3c (No. 167, hexagonal axes)
Inequivalent atoms, fractional coordinates:
1 Sm 0.0000 0.4364 0.2500 [18 per cell]
2 Sc 0.0000 0.0000 0.0000 [6 per cell]
3 Si 0.0722 0.2172 0.3372 [36 per cell]

Total energy (eV per atom): -5.93
Uncorrected formation energy (meV/atom): -623